No. 1
Material: MgZn2As2
Method: DFT, PBE
State: relaxed

Cell: 7.3041 7.3041 3.5968 Å, 90.00 90.00 90.00°
With the nearest neighbours (Å) after each atom.
Fractional coordinates of all 10 atoms:
Mg: 0.0000 0.0000 0.0000  4 As 2.68
Mg: 0.5000 0.5000 0.0000  4 As 2.68
Zn: 0.1283 0.3717 0.5000  1 Zn 2.65, 6 As 2.67-2.91
Zn: 0.3717 0.8717 0.5000  1 Zn 2.65, 6 As 2.67-2.91
Zn: 0.6283 0.1283 0.5000  1 Zn 2.65, 6 As 2.67-2.91
Zn: 0.8717 0.6283 0.5000  1 Zn 2.65, 6 As 2.67-2.91
As: 0.1802 0.6802 0.0000  6 Zn 2.67-2.91, 2 Mg 2.68
As: 0.3198 0.1802 0.0000  6 Zn 2.67-2.91, 2 Mg 2.68
As: 0.6802 0.8198 0.0000  6 Zn 2.67-2.91, 2 Mg 2.68
As: 0.8198 0.3198 0.0000  6 Zn 2.67-2.91, 2 Mg 2.68

Values from the calculation:
N(E_F) = 5.6 states/eV/cell
E_tot = -0.19815 Ry per atom
ρ = 5.278 Mg/m³
M_tot = 0.00 μB/f.u.
Formation energy = -0.7 kJ per mole of atoms


No. 2
Material: MgZn2As
Method: DFT, PBE
State: relaxed

Cell: 5.3388 8.3149 3.2659 Å, 90.00 90.00 90.00°
With the nearest neighbours (Å) after each atom.
Fractional coordinates of all 8 atoms:
Mg: 0.0000 0.0000 0.0000  2 As 2.67, 8 Zn 2.96
Mg: 0.5000 0.5000 0.0000  2 As 2.67, 8 Zn 2.96
Zn: 0.2500 0.2500 0.5000  2 Zn 2.67, 4 Mg 2.96, 4 As 2.96
Zn: 0.2500 0.7500 0.5000  2 Zn 2.67, 4 As 2.96, 4 Mg 2.96
Zn: 0.7500 0.2500 0.5000  2 Zn 2.67, 4 As 2.96, 4 Mg 2.96
Zn: 0.7500 0.7500 0.5000  2 Zn 2.67, 4 As 2.96, 4 Mg 2.96
As: 0.0000 0.5000 0.0000  2 Mg 2.67, 8 Zn 2.96
As: 0.5000 0.0000 0.0000  2 Mg 2.67, 8 Zn 2.96

Values from the calculation:
N(E_F) = 2.7 states/eV/cell
E_tot = -0.16115 Ry per atom
ρ = 5.270 Mg/m³
M_tot = 0.00 μB/f.u.
Formation energy = 0.5 kJ per mole of atoms


No. 3
Material: Mg2ZnAs
Method: DFT, PBE
State: relaxed

Cell: 4.2578 4.5739 8.2236 Å, 90.00 90.00 90.00°
With the nearest neighbours (Å) after each atom.
Fractional coordinates of all 8 atoms:
Mg: 0.0000 0.0000 0.0000  4 As 2.87-2.99, 6 Mg 3.12-3.20
Mg: 0.0000 0.5000 0.2912  4 Zn 2.90-3.02, 6 Mg 3.12-3.20
Mg: 0.5000 0.0000 0.2912  4 Zn 2.90-3.02, 6 Mg 3.12-3.20
Mg: 0.5000 0.5000 0.0000  4 As 2.87-2.99, 6 Mg 3.12-3.20
Zn: 0.0000 0.0000 0.5305  4 As 2.88-3.00, 4 Mg 2.90-3.02, 4 Zn 3.12
Zn: 0.5000 0.5000 0.5305  4 As 2.88-3.00, 4 Mg 2.90-3.02, 4 Zn 3.12
As: 0.0000 0.5000 0.7659  4 Mg 2.87-2.99, 4 Zn 2.88-3.00, 4 As 3.12
As: 0.5000 0.0000 0.7659  4 Mg 2.87-2.99, 4 Zn 2.88-3.00, 4 As 3.12

Values from the calculation:
N(E_F) = 4.3 states/eV/cell
Polymorph energy (0 for the lowest one) = 0.292 eV per atom
E_tot = -0.16658 Ry per atom
ρ = 3.918 Mg/m³
M_tot = 0.00 μB/f.u.
Formation energy = 1.1 kJ per mole of atoms


Question: Which formula does entry 1 have?
Answer: MgZn2As2